Density functional theory data (PBE) for a relaxed structure of LiTlPb4.

Output
Energy of formation from the pure elements in kcal/mol of atoms: -1.6
Magnetic moment in μB/atom: 0.00
Volume in Å³/cell: 171.22
Relative energy among the computed polymorphs in meV per atom: 0.0
E_tot in eV per cell: -19.54
Space-group type: P4/mmm

a = 3.490 Å, b = 3.490 Å, c = 14.056 Å
α = 90.00°, β = 90.00°, γ = 90.00°
Sites, in units of the cell vectors:
Li 0.000 0.000 0.000
Tl 0.500 0.500 0.500
Pb 0.000 0.000 0.317
Pb 0.000 0.000 0.683
Pb 0.500 0.500 0.139
Pb 0.500 0.500 0.861